Entry 1:
# AgPbAu

AgPbAu after structural relaxation (PBE, the Alexandria database).

Lattice parameters (Å, degrees): 4.8131 4.8131 3.3983 90.00 90.00 120.00
Closest atoms and distances in Å follow each position.
Fractional coordinates of all 3 atoms:
Au 0.6667 0.3333 0.1752  3 Ag 2.78
Ag 0.0000 0.0000 0.1590  3 Au 2.78
Pb 0.3333 0.6667 0.6658  6 Au 3.24-3.27, 6 Ag 3.25-3.27, 2 Pb 3.40

Results
formation energy from the elements: 0.0593 eV/atom
space-group type: P3m1
mass density: 12.47 Mg/m³
energy above the lowest structure with this stoichiometry: 101 meV/atom
V: 68.2 Å³/cell

=====

Entry 2:
# Ag2PbAu

Ag2PbAu after structural relaxation (PBE, the Alexandria database).

Lattice parameters (Å, degrees): 5.2435 5.2435 3.1875 90.00 90.00 108.74
Closest atoms and distances in Å follow each position.
Fractional coordinates of all 4 atoms:
Pb 0.0000 0.5000 0.5000  2 Au 3.05, 8 Ag 3.07, 2 Pb 3.19
Ag 0.0000 0.0000 0.0000  4 Ag 3.05-3.19, 4 Au 3.07, 4 Pb 3.07
Au 0.5000 0.0000 0.5000  2 Pb 3.05, 8 Ag 3.07, 2 Au 3.19
Ag 0.5000 0.5000 0.0000  4 Ag 3.05-3.19, 4 Pb 3.07, 4 Au 3.07

Results
formation energy from the elements: 0.0882 eV/atom
space-group type: Cmmm
mass density: 12.40 Mg/m³
V: 83.0 Å³/cell

=====

Entry 3:
# AgPb6Au3

AgPb6Au3 after structural relaxation (PBE, the Alexandria database).

Lattice parameters (Å, degrees): 4.6678 10.7650 12.1508 113.36 90.00 90.00
Closest atoms and distances in Å follow each position.
Fractional coordinates of all 20 atoms:
Pb 0.2500 0.5290 0.3964  4 Au 2.95-2.99
Au 0.2500 0.5855 0.1744  6 Pb 2.92-2.99
Pb 0.7500 0.1056 0.4503  2 Au 3.09, 3 Ag 3.16-3.29
Pb 0.7500 0.4169 0.0682  4 Au 2.89-2.94
Pb 0.7500 0.7448 0.3030  3 Au 2.92-2.95, 2 Ag 3.08
Pb 0.2500 0.2552 0.6970  3 Au 2.92-2.95, 2 Ag 3.08
Pb 0.2500 0.1084 0.8973  3 Au 2.96-3.01, 2 Ag 3.19
Au 0.7500 0.4145 0.8256  6 Pb 2.92-2.99
Au 0.7500 0.1462 0.0640  6 Pb 2.89-3.01
Pb 0.2500 0.8944 0.5497  2 Au 3.09, 3 Ag 3.16-3.29
Au 0.7500 0.6962 0.5229  7 Pb 2.92-3.09
Pb 0.7500 0.8916 0.1027  3 Au 2.96-3.01, 2 Ag 3.19
Au 0.2500 0.8538 0.9360  6 Pb 2.89-3.01
Au 0.2500 0.3038 0.4771  7 Pb 2.92-3.09
Pb 0.2500 0.5831 0.9318  4 Au 2.89-2.94
Pb 0.2500 0.1677 0.2145  3 Au 2.92-2.94, 1 Ag 3.10
Pb 0.7500 0.8323 0.7855  3 Au 2.92-2.94, 1 Ag 3.10
Pb 0.7500 0.4710 0.6036  4 Au 2.95-2.99
Ag 0.2500 0.9254 0.2914  8 Pb 3.08-3.29, 1 Au 3.36
Ag 0.7500 0.0746 0.7086  8 Pb 3.08-3.29, 1 Au 3.36

Results
formation energy from the elements: -0.0100 eV/atom
space-group type: P2_1/m
mass density: 11.51 Mg/m³
V: 560.5 Å³/cell

=====

Entry 4:
# Ag6PbAu

Ag6PbAu after structural relaxation (PBE, the Alexandria database).

Lattice parameters (Å, degrees): 4.9705 5.9694 5.9694 119.97 90.00 90.00
Closest atoms and distances in Å follow each position.
Fractional coordinates of all 8 atoms:
Ag 0.5000 0.9165 0.5836  8 Ag 2.98-3.01, 2 Pb 2.98, 2 Au 3.02
Au 0.0000 0.0835 0.9165  12 Ag 2.99-3.03
Ag 0.0000 0.0730 0.4113  8 Ag 2.89-3.08, 2 Au 2.99, 2 Pb 3.05
Ag 0.5000 0.4164 0.0835  8 Ag 2.98-3.01, 2 Pb 2.98, 2 Au 3.02
Pb 0.5000 0.4164 0.5836  12 Ag 2.98-3.06
Ag 0.5000 0.9166 0.0834  8 Ag 2.98-3.01, 2 Pb 2.99, 2 Au 3.03
Ag 0.0000 0.5886 0.4114  8 Ag 2.89-3.08, 2 Au 2.99, 2 Pb 3.06
Ag 0.0000 0.5887 0.9270  8 Ag 2.89-3.08, 2 Au 2.99, 2 Pb 3.05

Results
formation energy from the elements: 0.0450 eV/atom
space-group type: P-6m2
mass density: 11.38 Mg/m³
V: 153.4 Å³/cell

=====

Entry 5:
# Ag6PbAu12

Ag6PbAu12 after structural relaxation (PBE, the Alexandria database).

Lattice parameters (Å, degrees): 7.3399 7.3399 7.3399 101.60 101.60 101.60
Closest atoms and distances in Å follow each position.
Fractional coordinates of all 19 atoms:
Au 0.9992 0.7350 0.2654  4 Ag 2.84-3.10, 6 Au 2.87-3.02, 1 Pb 3.02
Ag 0.8288 0.5733 0.8269  7 Au 2.84-3.10, 2 Ag 2.90, 1 Pb 3.03
Au 0.4093 0.4073 0.8128  7 Au 2.73-3.01, 3 Ag 2.98-3.05
Ag 0.1712 0.4267 0.1731  7 Au 2.84-3.10, 2 Ag 2.90, 1 Pb 3.03
Au 0.7346 0.0008 0.2650  4 Ag 2.84-3.10, 6 Au 2.87-3.02, 1 Pb 3.02
Au 0.7350 0.2654 0.9992  4 Ag 2.84-3.10, 6 Au 2.87-3.02, 1 Pb 3.02
Au 0.5907 0.5927 0.1872  7 Au 2.73-3.01, 3 Ag 2.98-3.05
Ag 0.1731 0.1712 0.4267  7 Au 2.84-3.10, 2 Ag 2.90, 1 Pb 3.03
Ag 0.5733 0.8269 0.8288  7 Au 2.84-3.10, 2 Ag 2.90, 1 Pb 3.03
Au 0.1872 0.5907 0.5927  7 Au 2.73-3.01, 3 Ag 2.98-3.05
Au 0.0008 0.2650 0.7346  4 Ag 2.84-3.10, 6 Au 2.87-3.02, 1 Pb 3.02
Au 0.2650 0.7346 0.0008  4 Ag 2.84-3.10, 6 Au 2.87-3.02, 1 Pb 3.02
Au 0.4073 0.8128 0.4093  7 Au 2.73-3.01, 3 Ag 2.98-3.05
Pb 0.0000 0.0000 0.0000  6 Au 3.02, 6 Ag 3.03
Au 0.5927 0.1872 0.5907  7 Au 2.73-3.01, 3 Ag 2.98-3.05
Ag 0.8269 0.8288 0.5733  7 Au 2.84-3.10, 2 Ag 2.90, 1 Pb 3.03
Ag 0.4267 0.1731 0.1712  7 Au 2.84-3.10, 2 Ag 2.90, 1 Pb 3.03
Au 0.8128 0.4093 0.4073  7 Au 2.73-3.01, 3 Ag 2.98-3.05
Au 0.2654 0.9992 0.7350  4 Ag 2.84-3.10, 6 Au 2.87-3.02, 1 Pb 3.02

Results
formation energy from the elements: 0.0517 eV/atom
space-group type: R-3
mass density: 14.55 Mg/m³
V: 367.2 Å³/cell

=====

Entry 6:
# AgPb2Au

AgPb2Au after structural relaxation (PBE, the Alexandria database).

Lattice parameters (Å, degrees): 5.7590 5.7590 5.7590 134.10 134.10 66.92
Closest atoms and distances in Å follow each position.
Fractional coordinates of all 4 atoms:
Pb 0.2500 0.7500 0.5000  4 Au 3.18, 4 Ag 3.29, 4 Pb 3.29
Au 0.7500 0.2500 0.5000  8 Pb 3.18-3.29, 4 Ag 3.29
Ag 0.5000 0.5000 0.0000  8 Pb 3.18-3.29, 4 Au 3.29
Pb 0.0000 0.0000 0.0000  4 Ag 3.18, 4 Pb 3.29, 4 Au 3.29

Results
formation energy from the elements: 0.0885 eV/atom
space-group type: I-4m2
mass density: 12.33 Mg/m³
energy above the lowest structure with this stoichiometry: 110 meV/atom
V: 96.9 Å³/cell